# CaZrAs2, relaxed, DFT GGA-PBEsol
# Calculated formation energy: -1.205 eV/atom
data_CaZrAs2
_cell_length_a 3.9052
_cell_length_b 3.9052
_cell_length_c 7.1019
_cell_angle_alpha 74.04
_cell_angle_beta 74.04
_cell_angle_gamma 60.00
_space_group_name_H-M_alt 'P 1'
_space_group_IT_number 1
loop_
_space_group_symop_operation_xyz
'x,y,z'
loop_
_atom_site_label
_atom_site_fract_x
_atom_site_fract_y
_atom_site_fract_z
As1 0.7573 0.7573 0.7281
As2 0.2427 0.2427 0.2719
Ca1 0.0000 0.0000 0.0000
Zr1 0.5000 0.5000 0.5000